1.
Below is a relaxed structure of CsYO2, with properties calculated at the PBE-GGA level.

```
CsYO2
1.0
0.0000 3.2081 3.2081
3.2081 0.0000 3.2081
3.2081 3.2081 0.0000
Cs Y O
1 1 2
Direct
0.0000 0.0000 0.0000
0.5000 0.5000 0.5000
0.2500 0.2500 0.2500
0.7500 0.7500 0.7500
```

Computed properties:
Total DFT energy (no corrections): -5.781 eV per atom
Space-group type: Fm-3m (225)
Formation energy (no corrections): -1.473 eV per atom
Calculated volume: 16.5 Å³/atom

2.
Below is a relaxed structure of SmErGa2Pt2, with properties calculated at the PBE-GGA level.

```
SmErGa2Pt2
1.0
4.4741 0.0000 0.0000
-2.2371 3.8747 0.0000
0.0000 0.0000 7.0258
Sm Er Ga Pt
1 1 2 2
Direct
0.0000 0.0000 0.0000
0.0000 0.0000 0.5000
0.3333 0.6667 0.2683
0.6667 0.3333 0.7317
0.3333 0.6667 0.7309
0.6667 0.3333 0.2691
```

Computed properties:
Total DFT energy (no corrections): -5.634 eV per atom
Formation energy from the elements: -1064.2 meV/atom
Space-group type: P-3m1 (164)
Calculated volume: 20.3 Å³/atom

3.
Below is a relaxed structure of Sm2DyCd, with properties calculated at the PBE-GGA level.

```
Sm2DyCd
1.0
5.5946 0.0000 0.0000
0.0000 5.5946 0.0000
0.0000 0.0000 3.7970
Sm Dy Cd
2 1 1
Direct
0.0000 0.5000 0.0000
0.5000 0.0000 0.0000
0.0000 0.0000 0.5000
0.5000 0.5000 0.5000
```

Computed properties:
Total DFT energy (no corrections): -3.817 eV per atom
Formation energy from the elements: -78.3 meV/atom
Space-group type: P4/mmm (123)
Energy relative to the lowest polymorph listed for this composition: 0.25 eV per formula unit
Calculated volume: 29.7 Å³/atom